4
Lattice="1.637 -1.966 0.000 1.637 1.966 0.000 0.000 0.000 8.180" Properties=species:S:1:pos:R:3 comment="LiBeZn2 (GGA-PBE, optimized geometry)" formation_energy_kj_per_mol_atoms=11.01 dft_energy_ev_per_atom=-1.933 spacegroup="No. 35" pbc="T T T"
Li 0.000 0.000 0.000
Be 1.637 0.000 1.943
Zn 0.000 0.000 3.772
Zn 1.637 0.000 6.055

5
Lattice="4.801 0.000 0.000 0.000 4.801 0.000 0.000 0.000 4.801" Properties=species:S:1:pos:R:3 comment="ScRu3I (GGA-PBE, optimized geometry)" polymorph_energy_mev_per_atom=358 dft_energy_ev_per_atom=-5.541 spacegroup="No. 221" pbc="T T T"
Sc 0.000 0.000 0.000
Ru 0.000 0.000 2.400
Ru 0.000 2.400 0.000
Ru 2.400 0.000 0.000
I 2.400 2.400 2.400

14
Lattice="-4.647 4.647 4.647 4.647 -4.647 4.647 4.647 4.647 -4.647" Properties=species:S:1:pos:R:3 comment="Sm2Dy2Sb3 (GGA-PBE, optimized geometry)" polymorph_energy_mev_per_atom=0 dft_energy_ev_per_atom=-5.446 spacegroup="No. 199" pbc="T T T"
Sm 3.964 0.683 -0.683
Sm 0.683 0.683 0.683
Sm 0.683 -0.683 3.964
Sm -0.683 3.964 0.683
Dy 6.317 -1.670 1.670
Dy 1.670 6.317 -1.670
Dy 2.977 2.977 2.977
Dy -1.670 1.670 6.317
Sb 6.971 1.121 0.000
Sb 3.526 0.000 2.324
Sb 2.324 3.526 0.000
Sb 0.000 2.324 3.526
Sb 1.121 0.000 6.971
Sb 0.000 6.971 1.121

| no. | calculated volume (Å³ per cell) |
| --- | --- |
| 1 | 53 |
| 2 | 111 |
| 3 | 401 |